Below is TaTi3N at its PBEsol-relaxed geometry, with properties calculated at the SCAN level.

Cell lengths 4.6998, 4.6998, 4.6998 Å; angles 90.00, 90.00, 90.00 degrees
Last column: magnetic moment on the atom in μB.
Fractional coordinates of all 5 atoms:
Ta (0.0000, 0.0000, 0.0000)  -0.03
N (0.5000, 0.5000, 0.5000)  -0.79
Ti (0.0000, 0.0000, 0.5000)  0.93
Ti (0.5000, 0.0000, 0.0000)  0.93
Ti (0.0000, 0.5000, 0.0000)  0.93

Computed properties:
Uncorrected formation energy in eV/atom: 2.027
DOS at the Fermi energy in states/eV/f.u.: 5.16